This record from OQMD via LeMat-Bulk describes a relaxed GdHo2Sn3Pd2Pt crystal. The functional is PBE.

a b c (Å): 3.963 7.582 7.582
angles (deg): 120.12 90.00 90.00
Sites, in units of the cell vectors:
Gd1 0.000 0.000 0.000
Ho1 0.000 0.196 0.598
Ho2 0.000 0.598 0.196
Sn1 0.500 0.336 0.336
Sn2 0.500 0.597 0.858
Sn3 0.500 0.858 0.597
Pd1 0.500 0.267 0.930
Pd2 0.500 0.930 0.267
Pt1 0.000 0.596 0.596

Crystal system: orthorhombic
E_tot: -51.1 eV/f.u.
Theoretical density: 10.5 g/cm³
Space-group type: No. 38

This record from OQMD via LeMat-Bulk describes a relaxed SmYAsO crystal. The functional is PBE.

a b c (Å): 4.387 4.387 8.925
angles (deg): 90.00 90.00 90.00
Sites, in units of the cell vectors:
Sm1 0.250 0.250 0.106
Sm2 0.750 0.750 0.894
Y1 0.250 0.750 0.500
Y2 0.750 0.250 0.500
As1 0.250 0.250 0.701
As2 0.750 0.750 0.299
O1 0.250 0.750 0.000
O2 0.750 0.250 0.000

Crystal system: tetragonal
E_tot: -28.4 eV/f.u.
Relative energy among the computed polymorphs: 60 meV/atom
Theoretical density: 6.4 g/cm³
Space-group type: No. 129

This record from OQMD via LeMat-Bulk describes a relaxed CsLaDy crystal. The functional is PBE.

a b c (Å): 5.989 5.989 5.989
angles (deg): 60.00 60.00 60.00
Sites, in units of the cell vectors:
Cs1 0.000 0.000 0.000
La1 0.250 0.250 0.250
Dy1 0.500 0.500 0.500

Crystal system: cubic
E_tot: -6.8 eV/f.u.
Relative energy among the computed polymorphs: 453 meV/atom
Theoretical density: 4.7 g/cm³
Space-group type: No. 216